# 1
This record from the Alexandria database describes a relaxed structure of NpGeRh. The functional is PBE.

N(E_F) ... 2.32 states/eV per atom
DFT formation energy ... -408.5 meV/atom
Total energy ... -8.712 eV per atom
ρ ... 12.49 g cm⁻³
SG ... P-6m2, No. 187
Spin magnetization ... 3.2 μB per formula unit

Lattice parameters (Å, degrees): 4.520 4.520 3.101 90.00 90.00 120.00
Fractional coordinates of all 3 atoms:
Np 0.000 0.000 0.000
Ge 0.667 0.333 0.500
Rh 0.333 0.667 0.500

=====

# 2
This record from the Alexandria database describes a relaxed structure of Np3Ge7Rh2. The functional is PBE.

N(E_F) ... 2.56 states/eV per atom
DFT formation energy ... -282.5 meV/atom
Total energy ... -7.436 eV per atom
Polymorph energy (0 for the lowest one) ... 0 meV/atom
ρ ... 10.32 g cm⁻³
SG ... P2/m, No. 10
Spin magnetization ... 8.2 μB per formula unit

Lattice parameters (Å, degrees): 4.215 4.215 13.082 90.00 99.26 90.00
Fractional coordinates of all 12 atoms:
Np 0.000 0.000 0.000
Np 0.315 0.500 0.630
Np 0.685 0.500 0.370
Ge 0.082 0.500 0.165
Ge 0.223 0.000 0.446
Ge 0.418 0.000 0.836
Ge 0.500 0.500 0.000
Ge 0.582 0.000 0.164
Ge 0.777 0.000 0.554
Ge 0.918 0.500 0.835
Rh 0.129 0.000 0.258
Rh 0.871 0.000 0.742

=====

# 3
This record from the Alexandria database describes a relaxed structure of NpGeRh2. The functional is PBE.

N(E_F) ... 1.94 states/eV per atom
DFT formation energy ... -285.9 meV/atom
Total energy ... -8.351 eV per atom
ρ ... 12.70 g cm⁻³
SG ... Pmma, No. 51
Spin magnetization ... 3.7 μB per formula unit

Lattice parameters (Å, degrees): 13.582 3.426 2.896 90.00 90.00 90.00
Fractional coordinates of all 8 atoms:
Np 0.250 0.000 0.001
Np 0.750 0.000 0.999
Ge 0.000 0.000 0.000
Ge 0.500 0.000 0.000
Rh 0.104 0.500 0.501
Rh 0.396 0.500 0.501
Rh 0.604 0.500 0.499
Rh 0.896 0.500 0.499

=====

# 4
This record from the Alexandria database describes a relaxed structure of NpGe2Rh. The functional is PBE.

N(E_F) ... 1.56 states/eV per atom
DFT formation energy ... -383.9 meV/atom
Total energy ... -7.766 eV per atom
ρ ... 10.95 g cm⁻³
SG ... Pnma, No. 62
Spin magnetization ... 3.9 μB per formula unit

Lattice parameters (Å, degrees): 6.541 4.419 10.180 90.00 90.00 90.00
Fractional coordinates of all 16 atoms:
Np 0.231 0.250 0.173
Np 0.269 0.750 0.673
Np 0.731 0.250 0.327
Np 0.769 0.750 0.827
Ge 0.043 0.750 0.338
Ge 0.235 0.250 0.462
Ge 0.265 0.750 0.962
Ge 0.457 0.250 0.838
Ge 0.543 0.750 0.162
Ge 0.735 0.250 0.038
Ge 0.765 0.750 0.538
Ge 0.957 0.250 0.662
Rh 0.079 0.250 0.903
Rh 0.421 0.750 0.403
Rh 0.579 0.250 0.597
Rh 0.921 0.750 0.097

=====

# 5
This record from the Alexandria database describes a relaxed structure of Np3Ge4Rh2. The functional is PBE.

N(E_F) ... 2.50 states/eV per atom
DFT formation energy ... -361.7 meV/atom
Total energy ... -8.361 eV per atom
ρ ... 11.30 g cm⁻³
SG ... C2/m, No. 12
Spin magnetization ... 11.5 μB per formula unit

Lattice parameters (Å, degrees): 5.893 5.893 8.300 112.51 112.51 42.48
Fractional coordinates of all 9 atoms:
Np 0.000 0.000 0.000
Np 0.386 0.386 0.329
Np 0.614 0.614 0.671
Ge 0.089 0.089 0.387
Ge 0.284 0.284 0.933
Ge 0.716 0.716 0.067
Ge 0.911 0.911 0.613
Rh 0.310 0.310 0.648
Rh 0.690 0.690 0.352

=====

# 6
This record from the Alexandria database describes a relaxed structure of NpGe6Rh5. The functional is PBE.

N(E_F) ... 0.78 states/eV per atom
DFT formation energy ... -367.5 meV/atom
Total energy ... -6.818 eV per atom
ρ ... 9.94 g cm⁻³
SG ... C2/m, No. 12
Spin magnetization ... 4.1 μB per formula unit

Lattice parameters (Å, degrees): 6.279 6.279 6.975 99.71 99.71 128.50
Fractional coordinates of all 12 atoms:
Np 0.000 0.000 0.000
Ge 0.093 0.477 0.303
Ge 0.357 0.357 0.787
Ge 0.477 0.093 0.303
Ge 0.523 0.907 0.697
Ge 0.643 0.643 0.213
Ge 0.907 0.523 0.697
Rh 0.123 0.877 0.500
Rh 0.307 0.693 0.000
Rh 0.500 0.500 0.500
Rh 0.693 0.307 0.000
Rh 0.877 0.123 0.500

=====

# 7
This record from the Alexandria database describes a relaxed structure of NpGe6Rh6. The functional is PBE.

N(E_F) ... 1.05 states/eV per atom
DFT formation energy ... -457.1 meV/atom
Total energy ... -6.977 eV per atom
ρ ... 10.20 g cm⁻³
SG ... Immm, No. 71
Spin magnetization ... 4.2 μB per formula unit

Lattice parameters (Å, degrees): 6.807 6.807 6.807 132.39 107.71 91.24
Fractional coordinates of all 13 atoms:
Np 0.000 0.000 0.000
Ge 0.160 0.660 0.500
Ge 0.328 0.328 0.000
Ge 0.346 0.000 0.346
Ge 0.654 0.000 0.654
Ge 0.672 0.672 0.000
Ge 0.840 0.340 0.500
Rh 0.000 0.000 0.500
Rh 0.000 0.500 0.000
Rh 0.263 0.500 0.763
Rh 0.500 0.000 0.000
Rh 0.500 0.500 0.500
Rh 0.737 0.500 0.237

=====

# 8
This record from the Alexandria database describes a relaxed structure of Np4Ge8Rh. The functional is PBE.

N(E_F) ... 2.38 states/eV per atom
DFT formation energy ... -200.7 meV/atom
Total energy ... -7.589 eV per atom
ρ ... 10.27 g cm⁻³
SG ... Pmm2, No. 25
Spin magnetization ... 14.7 μB per formula unit

Lattice parameters (Å, degrees): 4.025 4.237 15.478 90.00 90.00 90.00
Fractional coordinates of all 13 atoms:
Np 0.000 0.000 0.000
Np 0.000 0.500 0.477
Np 0.500 0.000 0.792
Np 0.500 0.500 0.291
Ge 0.000 0.000 0.323
Ge 0.000 0.000 0.616
Ge 0.000 0.500 0.143
Ge 0.000 0.500 0.858
Ge 0.500 0.000 0.148
Ge 0.500 0.000 0.441
Ge 0.500 0.500 0.612
Ge 0.500 0.500 0.965
Rh 0.000 0.500 0.700

=====

# 9
This record from the Alexandria database describes a relaxed structure of NpGe4Rh4. The functional is PBE.

N(E_F) ... 1.75 states/eV per atom
DFT formation energy ... -382.5 meV/atom
Total energy ... -7.140 eV per atom
ρ ... 10.07 g cm⁻³
SG ... P4_2/nmc, No. 137
Spin magnetization ... 4.2 μB per formula unit

Lattice parameters (Å, degrees): 6.131 6.131 8.240 90.00 90.00 90.00
Fractional coordinates of all 18 atoms:
Np 0.250 0.750 0.250
Np 0.750 0.250 0.750
Ge 0.039 0.250 0.069
Ge 0.250 0.039 0.569
Ge 0.250 0.461 0.569
Ge 0.461 0.250 0.069
Ge 0.539 0.750 0.931
Ge 0.750 0.539 0.431
Ge 0.750 0.961 0.431
Ge 0.961 0.750 0.931
Rh 0.022 0.250 0.369
Rh 0.250 0.022 0.869
Rh 0.250 0.478 0.869
Rh 0.478 0.250 0.369
Rh 0.522 0.750 0.631
Rh 0.750 0.522 0.131
Rh 0.750 0.978 0.131
Rh 0.978 0.750 0.631

=====

# 10
This record from the Alexandria database describes a relaxed structure of NpGe2Rh. The functional is PBE.

N(E_F) ... 2.58 states/eV per atom
DFT formation energy ... -139.2 meV/atom
Total energy ... -7.521 eV per atom
ρ ... 11.06 g cm⁻³
SG ... Fm-3m, No. 225
Spin magnetization ... 4.3 μB per formula unit

Lattice parameters (Å, degrees): 4.688 4.688 4.688 60.00 60.00 60.00
Fractional coordinates of all 4 atoms:
Np 0.000 0.000 0.000
Ge 0.250 0.250 0.250
Ge 0.750 0.750 0.750
Rh 0.500 0.500 0.500

=====

# 11
This record from the Alexandria database describes a relaxed structure of NpGe2Rh3. The functional is PBE.

N(E_F) ... 1.86 states/eV per atom
DFT formation energy ... -530.7 meV/atom
Total energy ... -7.902 eV per atom
ρ ... 11.21 g cm⁻³
SG ... C2/m, No. 12
Spin magnetization ... 3.4 μB per formula unit

Lattice parameters (Å, degrees): 8.576 8.576 9.719 107.64 107.64 26.87
Fractional coordinates of all 18 atoms:
Np 0.000 0.000 0.000
Np 0.165 0.165 0.707
Np 0.835 0.835 0.293
Ge 0.191 0.191 0.124
Ge 0.362 0.362 0.545
Ge 0.459 0.459 0.223
Ge 0.541 0.541 0.777
Ge 0.638 0.638 0.455
Ge 0.809 0.809 0.876
Rh 0.042 0.042 0.329
Rh 0.216 0.216 0.391
Rh 0.318 0.318 0.044
Rh 0.387 0.387 0.812
Rh 0.500 0.500 0.500
Rh 0.613 0.613 0.188
Rh 0.682 0.682 0.956
Rh 0.784 0.784 0.609
Rh 0.958 0.958 0.671

=====

# 12
This record from the Alexandria database describes a relaxed structure of NpGeRh6. The functional is PBE.

N(E_F) ... 1.35 states/eV per atom
DFT formation energy ... -317.9 meV/atom
Total energy ... -8.026 eV per atom
ρ ... 12.55 g cm⁻³
SG ... Cmmm, No. 65
Spin magnetization ... 1.1 μB per formula unit

Lattice parameters (Å, degrees): 5.531 5.531 4.016 90.00 90.00 93.82
Fractional coordinates of all 8 atoms:
Np 0.000 0.000 0.000
Ge 0.500 0.500 0.000
Rh 0.000 0.500 0.000
Rh 0.222 0.778 0.500
Rh 0.284 0.284 0.500
Rh 0.500 0.000 0.000
Rh 0.716 0.716 0.500
Rh 0.778 0.222 0.500

=====

# 13
This record from the Alexandria database describes a relaxed structure of Np2Ge3Rh. The functional is PBE.

N(E_F) ... 1.96 states/eV per atom
DFT formation energy ... -316.5 meV/atom
Total energy ... -8.164 eV per atom
ρ ... 11.65 g cm⁻³
SG ... Cm, No. 8
Spin magnetization ... 6.9 μB per formula unit

Lattice parameters (Å, degrees): 5.569 5.569 6.046 120.85 120.85 46.74
Fractional coordinates of all 6 atoms:
Np 0.000 0.000 0.000
Np 0.067 0.067 0.634
Ge 0.346 0.346 0.583
Ge 0.672 0.672 0.434
Ge 0.731 0.731 0.059
Rh 0.377 0.377 0.194

=====

# 14
This record from the Alexandria database describes a relaxed structure of NpGeRh2. The functional is PBE.

N(E_F) ... 1.54 states/eV per atom
DFT formation energy ... -438.9 meV/atom
Total energy ... -8.504 eV per atom
ρ ... 12.05 g cm⁻³
SG ... R-3m, No. 166
Spin magnetization ... 3.4 μB per formula unit

Lattice parameters (Å, degrees): 5.128 5.128 5.128 49.22 49.22 49.22
Fractional coordinates of all 4 atoms:
Np 0.000 0.000 0.000
Ge 0.500 0.500 0.500
Rh 0.224 0.224 0.224
Rh 0.776 0.776 0.776

=====

# 15
This record from the Alexandria database describes a relaxed structure of NpGe2Rh. The functional is PBE.

N(E_F) ... 1.44 states/eV per atom
DFT formation energy ... -276.4 meV/atom
Total energy ... -7.658 eV per atom
ρ ... 11.44 g cm⁻³
SG ... P4/mmm, No. 123
Spin magnetization ... 4.2 μB per formula unit

Lattice parameters (Å, degrees): 3.138 3.138 7.154 90.00 90.00 90.00
Fractional coordinates of all 4 atoms:
Np 0.000 0.000 0.000
Ge 0.500 0.500 0.292
Ge 0.500 0.500 0.708
Rh 0.000 0.000 0.500

=====

# 16
This record from the Alexandria database describes a relaxed structure of Np2GeRh. The functional is PBE.

N(E_F) ... 2.51 states/eV per atom
DFT formation energy ... -274.2 meV/atom
Total energy ... -9.737 eV per atom
ρ ... 13.65 g cm⁻³
SG ... P4/mmm, No. 123
Spin magnetization ... 7.5 μB per formula unit

Lattice parameters (Å, degrees): 3.783 3.783 5.524 90.00 90.00 90.00
Fractional coordinates of all 4 atoms:
Np 0.000 0.000 0.247
Np 0.000 0.000 0.753
Ge 0.500 0.500 0.000
Rh 0.500 0.500 0.500

=====

# 17
This record from the Alexandria database describes a relaxed structure of NpGeRh2. The functional is PBE.

N(E_F) ... 1.64 states/eV per atom
DFT formation energy ... -306.6 meV/atom
Total energy ... -8.372 eV per atom
ρ ... 12.33 g cm⁻³
SG ... P4/mmm, No. 123
Spin magnetization ... 3.4 μB per formula unit

Lattice parameters (Å, degrees): 4.251 4.251 3.841 90.00 90.00 90.00
Fractional coordinates of all 4 atoms:
Np 0.000 0.000 0.000
Ge 0.500 0.500 0.000
Rh 0.000 0.500 0.500
Rh 0.500 0.000 0.500

=====

# 18
This record from the Alexandria database describes a relaxed structure of NpGeRh5. The functional is PBE.

N(E_F) ... 1.18 states/eV per atom
DFT formation energy ... -214.9 meV/atom
Total energy ... -7.974 eV per atom
ρ ... 12.00 g cm⁻³
SG ... C2/c, No. 15
Spin magnetization ... 1.0 μB per formula unit

Lattice parameters (Å, degrees): 6.236 6.236 6.952 110.19 110.19 97.70
Fractional coordinates of all 14 atoms:
Np 0.182 0.818 0.750
Np 0.818 0.182 0.250
Ge 0.000 0.500 0.000
Ge 0.500 0.000 0.500
Rh 0.075 0.925 0.250
Rh 0.194 0.369 0.651
Rh 0.281 0.577 0.393
Rh 0.369 0.194 0.151
Rh 0.423 0.719 0.107
Rh 0.577 0.281 0.893
Rh 0.631 0.806 0.849
Rh 0.719 0.423 0.607
Rh 0.806 0.631 0.349
Rh 0.925 0.075 0.750

=====

# 19
This record from the Alexandria database describes a relaxed structure of NpGe3Rh5. The functional is PBE.

N(E_F) ... 1.32 states/eV per atom
DFT formation energy ... -374.2 meV/atom
Total energy ... -7.435 eV per atom
ρ ... 11.05 g cm⁻³
SG ... Cmcm, No. 63
Spin magnetization ... 3.9 μB per formula unit

Lattice parameters (Å, degrees): 6.925 6.925 14.603 90.00 90.00 155.40
Fractional coordinates of all 18 atoms:
Np 0.158 0.842 0.750
Np 0.842 0.158 0.250
Ge 0.129 0.871 0.250
Ge 0.360 0.640 0.050
Ge 0.360 0.640 0.450
Ge 0.640 0.360 0.550
Ge 0.640 0.360 0.950
Ge 0.871 0.129 0.750
Rh 0.000 0.000 0.000
Rh 0.000 0.000 0.500
Rh 0.188 0.812 0.088
Rh 0.188 0.812 0.412
Rh 0.491 0.509 0.657
Rh 0.491 0.509 0.843
Rh 0.509 0.491 0.157
Rh 0.509 0.491 0.343
Rh 0.812 0.188 0.588
Rh 0.812 0.188 0.912

=====

# 20
This record from the Alexandria database describes a relaxed structure of NpGe2Rh. The functional is PBE.

N(E_F) ... 1.19 states/eV per atom
DFT formation energy ... -145.5 meV/atom
Total energy ... -7.527 eV per atom
ρ ... 11.62 g cm⁻³
SG ... R-3m, No. 166
Spin magnetization ... 3.1 μB per formula unit

Lattice parameters (Å, degrees): 9.249 9.249 9.249 18.47 18.47 18.47
Fractional coordinates of all 4 atoms:
Np 0.000 0.000 0.000
Ge 0.238 0.238 0.238
Ge 0.762 0.762 0.762
Rh 0.500 0.500 0.500